{"formula": "Ta3RhS6", "functional": "PBE", "state": "optimized geometry", "cell": [[5.773, 0.000, 0.000], [-2.886, 4.999, 0.000], [0.000, 0.000, 12.166]], "species": ["Ta", "Ta", "Ta", "Ta", "Ta", "Ta", "Rh", "Rh", "S", "S", "S", "S", "S", "S", "S", "S", "S", "S", "S", "S"], "fractional_positions": [[0.000, 0.000, 0.000], [0.000, 0.000, 0.500], [0.333, 0.667, 0.003], [0.333, 0.667, 0.497], [0.667, 0.333, 0.503], [0.667, 0.333, 0.997], [0.333, 0.667, 0.750], [0.667, 0.333, 0.250], [0.003, 0.333, 0.370], [0.003, 0.670, 0.130], [0.330, 0.333, 0.130], [0.330, 0.997, 0.370], [0.333, 0.003, 0.630], [0.333, 0.330, 0.870], [0.667, 0.670, 0.370], [0.667, 0.997, 0.130], [0.670, 0.003, 0.870], [0.670, 0.667, 0.630], [0.997, 0.330, 0.630], [0.997, 0.667, 0.870]], "raw_formation_energy_ev_per_atom": -0.99, "dft_energy_ev_per_atom": -7.7580, "n_ef_per_ev_atom": 0.395, "vol_a3_per_cell": 351, "density_g_cm3": 7.93}